No. 1
First-principles (PBE-GGA) data for a geometry-optimized MnSbAu structure, as listed in the Alexandria database.

Cell lengths 6.4772, 6.4758, 3.1539 Å; angles 75.93, 75.88, 28.18 degrees
Closest atoms and distances in Å follow each position.
Fractional positions:
1 Mn 0.0000 0.0000 0.0000  4 Au 2.76, 4 Sb 3.00
2 Sb 0.3352 0.3352 0.6648  4 Mn 3.00, 4 Sb 3.15, 4 Au 3.31
3 Au 0.6339 0.6339 0.3661  4 Mn 2.76

Results
- formation energy from raw total energies (eV per atom) = 0.1296
- energy above the lowest structure with this stoichiometry (meV per atom) = 120
- crystal system = orthorhombic
- SG = Fmm2, No. 42

=====

No. 2
First-principles (PBE-GGA) data for a geometry-optimized Tb3TeCSe structure, as listed in the Alexandria database.

Cell lengths 8.1264, 3.8046, 10.7215 Å; angles 90.00, 101.92, 90.00 degrees
Closest atoms and distances in Å follow each position.
Fractional positions:
1 Tb 0.0239 0.2500 0.3698  3 C 2.32-2.55
2 Tb 0.3469 0.2500 0.0709  3 Se 2.81-2.82, 2 Te 3.12
3 Tb 0.3539 0.7500 0.6045  2 C 2.44
4 Tb 0.6461 0.2500 0.3955  2 C 2.44
5 Tb 0.6531 0.7500 0.9291  3 Se 2.81-2.82, 2 Te 3.12
6 Tb 0.9761 0.7500 0.6302  3 C 2.32-2.55
7 Te 0.3177 0.7500 0.2955  7 Tb 3.12-3.28
8 Te 0.6823 0.2500 0.7045  7 Tb 3.12-3.28
9 C 0.1619 0.2500 0.5822  5 Tb 2.32-2.55
10 C 0.8381 0.7500 0.4178  5 Tb 2.32-2.55
11 Se 0.2982 0.7500 0.8739  4 Tb 2.81-3.01
12 Se 0.7018 0.2500 0.1261  4 Tb 2.81-3.01

Results
- formation energy from raw total energies (eV per atom) = -0.9553
- crystal system = monoclinic
- SG = P2_1/m, No. 11

=====

No. 3
First-principles (PBE-GGA) data for a geometry-optimized BiPPd3 structure, as listed in the Alexandria database.

Cell lengths 8.6699, 3.8548, 10.6692 Å; angles 90.00, 90.00, 90.00 degrees
Closest atoms and distances in Å follow each position.
Fractional positions:
1 Bi 0.1618 0.2500 0.0023  8 Pd 2.92-3.27
2 Bi 0.3382 0.7500 0.5023  8 Pd 2.92-3.27
3 Bi 0.6618 0.2500 0.4977  8 Pd 2.92-3.27
4 Bi 0.8382 0.7500 0.9977  8 Pd 2.92-3.27
5 P 0.0524 0.2500 0.6594  7 Pd 2.37-2.51
6 P 0.4476 0.7500 0.1594  7 Pd 2.37-2.51
7 P 0.5524 0.2500 0.8406  7 Pd 2.37-2.51
8 P 0.9476 0.7500 0.3406  7 Pd 2.37-2.51
9 Pd 0.0710 0.7500 0.7997  2 P 2.45
10 Pd 0.0912 0.2500 0.4364  3 P 2.40-2.51
11 Pd 0.1854 0.7500 0.2225  2 P 2.37-2.42
12 Pd 0.3146 0.2500 0.7225  2 P 2.37-2.42
13 Pd 0.4088 0.7500 0.9364  3 P 2.40-2.51
14 Pd 0.4290 0.2500 0.2997  2 P 2.45
15 Pd 0.5710 0.7500 0.7003  2 P 2.45
16 Pd 0.5912 0.2500 0.0636  3 P 2.40-2.51
17 Pd 0.6854 0.7500 0.2775  2 P 2.37-2.42
18 Pd 0.8146 0.2500 0.7775  2 P 2.37-2.42
19 Pd 0.9088 0.7500 0.5636  3 P 2.40-2.51
20 Pd 0.9290 0.2500 0.2003  2 P 2.45

Results
- energy above the lowest structure with this stoichiometry (meV per atom) = 0
- crystal system = orthorhombic
- SG = Pnma, No. 62

=====

No. 4
First-principles (PBE-GGA) data for a geometry-optimized TiHS2Cl structure, as listed in the Alexandria database.

Cell lengths 4.8552, 4.8552, 3.2752 Å; angles 90.00, 90.00, 90.00 degrees
Closest atoms and distances in Å follow each position.
Fractional positions:
1 Ti 0.0000 0.0000 0.0000  8 S 2.93, 2 Ti 3.28
2 H 0.5000 0.5000 0.0000  2 Cl 1.64
3 S 0.0000 0.5000 0.5000  2 Cl 2.43
4 S 0.5000 0.0000 0.5000  2 Cl 2.43
5 Cl 0.5000 0.5000 0.5000  2 H 1.64

Results
- energy above the lowest structure with this stoichiometry (meV per atom) = 541
- crystal system = tetragonal
- SG = P4/mmm, No. 123

=====

No. 5
First-principles (PBE-GGA) data for a geometry-optimized Al2Cl structure, as listed in the Alexandria database.

Cell lengths 6.1659, 6.1659, 6.1659 Å; angles 129.49, 129.49, 74.23 degrees
Closest atoms and distances in Å follow each position.
Fractional positions:
1 Al 0.1875 0.6875 0.8749  5 Al 2.71-2.79
2 Al 0.3125 0.1875 0.5000  5 Al 2.71-2.79
3 Al 0.6875 0.8125 0.5000  5 Al 2.71-2.79
4 Al 0.8125 0.3125 0.1251  5 Al 2.71-2.79
5 Cl 0.2500 0.2500 0.0000  8 Al 3.12
6 Cl 0.7500 0.7500 0.0000  8 Al 3.12

Results
- formation energy from raw total energies (eV per atom) = -0.0582
- energy above the lowest structure with this stoichiometry (meV per atom) = 391
- crystal system = tetragonal
- SG = I4/mcm, No. 140

=====

No. 6
First-principles (PBE-GGA) data for a geometry-optimized BaZrCu structure, as listed in the Alexandria database.

Cell lengths 4.4903, 4.4903, 5.2574 Å; angles 90.00, 90.00, 120.00 degrees
Closest atoms and distances in Å follow each position.
Fractional positions:
1 Ba 0.0000 0.0000 0.0000  6 Zr 3.69, 6 Cu 3.69
2 Zr 0.3333 0.6667 0.5000  3 Cu 2.59
3 Cu 0.6667 0.3333 0.5000  3 Zr 2.59

Results
- energy above the lowest structure with this stoichiometry (meV per atom) = 146
- crystal system = hexagonal
- SG = P-6m2, No. 187

=====

No. 7
First-principles (PBE-GGA) data for a geometry-optimized ZnAg4Au3 structure, as listed in the Alexandria database.

Cell lengths 9.9092, 9.9092, 4.9555 Å; angles 104.02, 104.02, 17.31 degrees
Closest atoms and distances in Å follow each position.
Fractional positions:
1 Zn 0.0000 0.0000 0.0000  6 Ag 2.83-2.94, 4 Au 2.89, 2 Zn 2.98
2 Ag 0.1246 0.1246 0.4728  6 Ag 2.88-2.98, 5 Au 2.89-2.93, 1 Zn 2.94
3 Ag 0.3792 0.3792 0.0270  2 Zn 2.83, 6 Ag 2.88-2.98, 4 Au 2.89-3.01
4 Ag 0.6208 0.6208 0.9730  2 Zn 2.83, 6 Ag 2.88-2.98, 4 Au 2.89-3.01
5 Ag 0.8754 0.8754 0.5272  6 Ag 2.88-2.98, 5 Au 2.89-2.93, 1 Zn 2.94
6 Au 0.2492 0.2492 0.2476  6 Au 2.88-2.98, 6 Ag 2.92-3.01
7 Au 0.5000 0.5000 0.5000  4 Zn 2.89, 6 Ag 2.89, 2 Au 2.98
8 Au 0.7508 0.7508 0.7524  6 Au 2.88-2.98, 6 Ag 2.92-3.01

Results
- energy above the lowest structure with this stoichiometry (meV per atom) = 0
- crystal system = monoclinic
- SG = C2/m, No. 12

=====

No. 8
First-principles (PBE-GGA) data for a geometry-optimized Li2Ce2DyPb2 structure, as listed in the Alexandria database.

Cell lengths 9.5533, 9.5533, 9.5533 Å; angles 28.30, 28.30, 28.30 degrees
Closest atoms and distances in Å follow each position.
Fractional positions:
1 Li 0.0890 0.0890 0.0890  3 Pb 2.72
2 Li 0.9110 0.9110 0.9110  3 Pb 2.72
3 Ce 0.3562 0.3562 0.3562  3 Ce 2.97, 3 Li 3.25
4 Ce 0.6438 0.6438 0.6438  3 Ce 2.97, 3 Li 3.25
5 Dy 0.5000 0.5000 0.5000  6 Pb 3.24, 6 Li 3.44
6 Pb 0.2321 0.2321 0.2321  3 Li 2.72
7 Pb 0.7679 0.7679 0.7679  3 Li 2.72

Results
- E (eV per cell) = -29.73
- crystal system = trigonal
- SG = R-3m, No. 166

=====

No. 9
First-principles (PBE-GGA) data for a geometry-optimized ZnCo2Cl structure, as listed in the Alexandria database.

Cell lengths 2.8743, 2.8743, 7.2877 Å; angles 90.00, 90.00, 90.00 degrees
Closest atoms and distances in Å follow each position.
Fractional positions:
1 Zn 0.0000 0.0000 0.0000  4 Co 2.50
2 Co 0.0000 0.0000 0.6015  4 Co 2.50, 4 Cl 2.54
3 Co 0.5000 0.5000 0.8005  4 Co 2.50, 4 Zn 2.50
4 Cl 0.5000 0.5000 0.3921  4 Co 2.54

Results
- formation energy from raw total energies (eV per atom) = 0.1446
- energy above the lowest structure with this stoichiometry (meV per atom) = 67
- crystal system = tetragonal
- SG = P4mm, No. 99

=====

No. 10
First-principles (PBE-GGA) data for a geometry-optimized NbPRu3 structure, as listed in the Alexandria database.

Cell lengths 4.7053, 4.7053, 4.7053 Å; angles 90.00, 90.00, 90.00 degrees
Closest atoms and distances in Å follow each position.
Fractional positions:
1 Nb 0.0000 0.0000 0.0000  6 Ru 2.35
2 P 0.5000 0.5000 0.5000  12 Ru 3.33
3 Ru 0.0000 0.0000 0.5000  2 Nb 2.35
4 Ru 0.0000 0.5000 0.0000  2 Nb 2.35
5 Ru 0.5000 0.0000 0.0000  2 Nb 2.35

Results
- energy above the lowest structure with this stoichiometry (meV per atom) = 1593
- crystal system = cubic
- SG = Pm-3m, No. 221

=====

No. 11
First-principles (PBE-GGA) data for a geometry-optimized Ta6Al2H structure, as listed in the Alexandria database.

Cell lengths 5.5111, 5.9369, 10.3992 Å; angles 90.00, 121.98, 90.00 degrees
Closest atoms and distances in Å follow each position.
Fractional positions:
1 Ta 0.1083 0.2220 0.4824  1 H 2.45, 1 Al 2.74
2 Ta 0.1083 0.2780 0.9824  1 H 2.45, 1 Al 2.74
3 Ta 0.3485 0.7055 0.4828  1 H 1.90
4 Ta 0.3485 0.7945 0.9828  1 H 1.90
5 Ta 0.3820 0.0056 0.2500  1 H 2.32
6 Ta 0.3820 0.4944 0.7500  1 H 2.32
7 Ta 0.6180 0.5056 0.2500  1 H 2.32
8 Ta 0.6180 0.9944 0.7500  1 H 2.32
9 Ta 0.6515 0.2055 0.0172  1 H 1.90
10 Ta 0.6515 0.2945 0.5172  1 H 1.90
11 Ta 0.8917 0.7220 0.0176  1 H 2.45, 1 Al 2.74
12 Ta 0.8917 0.7780 0.5176  1 H 2.45, 1 Al 2.74
13 Al 0.1290 0.0897 0.7477  9 Ta 2.72-2.89
14 Al 0.1290 0.4103 0.2477  9 Ta 2.72-2.89
15 Al 0.8710 0.5897 0.7523  9 Ta 2.72-2.89
16 Al 0.8710 0.9103 0.2523  9 Ta 2.72-2.89
17 H 0.5000 0.0000 0.5000  2 Ta 1.90
18 H 0.5000 0.5000 0.0000  2 Ta 1.90

Results
- E (eV per cell) = -164.92
- crystal system = monoclinic
- SG = P2_1/c, No. 14

=====

No. 12
First-principles (PBE-GGA) data for a geometry-optimized Rb2FeAuN structure, as listed in the Alexandria database.

Cell lengths 6.4048, 6.4048, 4.8810 Å; angles 90.00, 90.00, 90.00 degrees
Closest atoms and distances in Å follow each position.
Fractional positions:
1 Rb 0.0000 0.5000 0.0000  2 Fe 3.20
2 Rb 0.5000 0.0000 0.0000  2 Fe 3.20
3 Fe 0.0000 0.0000 0.0000  2 Au 2.44
4 Au 0.0000 0.0000 0.5000  2 Fe 2.44
5 N 0.5000 0.5000 0.5000  8 Rb 4.03

Results
- formation energy from raw total energies (eV per atom) = 1.2760
- crystal system = tetragonal
- SG = P4/mmm, No. 123

=====

No. 13
First-principles (PBE-GGA) data for a geometry-optimized Nb3BiSb structure, as listed in the Alexandria database.

Cell lengths 5.1636, 5.1636, 5.1636 Å; angles 90.00, 90.00, 90.00 degrees
Closest atoms and distances in Å follow each position.
Fractional positions:
1 Nb 0.0000 0.0000 0.5000  2 Bi 2.58
2 Nb 0.0000 0.5000 0.0000  2 Bi 2.58
3 Nb 0.5000 0.0000 0.0000  2 Bi 2.58
4 Bi 0.0000 0.0000 0.0000  6 Nb 2.58
5 Sb 0.5000 0.5000 0.5000  12 Nb 3.65

Results
- formation energy from raw total energies (eV per atom) = 1.7366
- energy above the lowest structure with this stoichiometry (meV per atom) = 444
- crystal system = cubic
- SG = Pm-3m, No. 221

=====

No. 14
First-principles (PBE-GGA) data for a geometry-optimized Bi2PPd5 structure, as listed in the Alexandria database.

Cell lengths 6.0112, 6.0016, 6.0617 Å; angles 59.77, 59.62, 60.61 degrees
Closest atoms and distances in Å follow each position.
Fractional positions:
1 Bi 0.0000 0.0000 0.5000  10 Pd 2.98-3.04
2 Bi 0.5000 0.5000 0.0000  10 Pd 2.98-3.04
3 P 0.2165 0.2165 0.7835  5 Pd 2.31-2.37
4 Pd 0.4978 0.4978 0.5022  1 P 2.37
5 Pd 0.5204 0.9878 0.0122  1 P 2.31
6 Pd 0.5219 0.9876 0.4781  1 P 2.31
7 Pd 0.9878 0.5204 0.4796  1 P 2.31
8 Pd 0.9876 0.5219 0.0124  1 P 2.31

Results
- E (eV per cell) = -41.14
- crystal system = orthorhombic
- SG = Fmm2, No. 42

=====

No. 15
First-principles (PBE-GGA) data for a geometry-optimized NaPrLu structure, as listed in the Alexandria database.

Cell lengths 8.4836, 8.4836, 8.4836 Å; angles 155.85, 155.85, 34.41 degrees
Closest atoms and distances in Å follow each position.
Fractional positions:
1 Na 0.0000 0.0000 0.0000  4 Na 3.55, 4 Lu 3.73, 4 Pr 3.85
2 Pr 0.6803 0.6803 0.0000  4 Lu 3.48, 4 Pr 3.55, 4 Na 3.85
3 Lu 0.3294 0.3294 0.0000  4 Pr 3.48, 4 Lu 3.55, 4 Na 3.73

Results
- energy above the lowest structure with this stoichiometry (meV per atom) = 24
- crystal system = tetragonal
- SG = I4mm, No. 107

=====

No. 16
First-principles (PBE-GGA) data for a geometry-optimized ErPuIr structure, as listed in the Alexandria database.

Cell lengths 6.5018, 6.5018, 6.5018 Å; angles 149.24, 149.24, 44.06 degrees
Closest atoms and distances in Å follow each position.
Fractional positions:
1 Er 0.0000 0.0000 0.0000  4 Ir 2.91, 1 Pu 3.26
2 Pu 0.7293 0.7293 0.0000  4 Ir 2.95, 1 Er 3.26
3 Ir 0.3676 0.3676 0.0000  4 Er 2.91, 4 Pu 2.95

Results
- energy above the lowest structure with this stoichiometry (meV per atom) = 96
- crystal system = tetragonal
- SG = I4mm, No. 107

=====

No. 17
First-principles (PBE-GGA) data for a geometry-optimized MgTcOsSe2 structure, as listed in the Alexandria database.

Cell lengths 4.8277, 4.8277, 4.8182 Å; angles 90.00, 90.00, 90.00 degrees
Closest atoms and distances in Å follow each position.
Fractional positions:
1 Mg 0.0000 0.0000 0.0000  8 Se 3.41, 4 Os 3.41
2 Tc 0.5000 0.5000 0.5000  2 Os 2.41, 4 Se 2.41
3 Os 0.5000 0.5000 0.0000  2 Tc 2.41
4 Se 0.0000 0.5000 0.5000  2 Tc 2.41
5 Se 0.5000 0.0000 0.5000  2 Tc 2.41

Results
- formation energy from raw total energies (eV per atom) = 0.8220
- crystal system = tetragonal
- SG = P4/mmm, No. 123

=====

No. 18
First-principles (PBE-GGA) data for a geometry-optimized TaAlRh2 structure, as listed in the Alexandria database.

Cell lengths 4.8976, 4.8976, 4.4395 Å; angles 104.51, 104.51, 36.65 degrees
Closest atoms and distances in Å follow each position.
Fractional positions:
1 Ta 0.0000 0.0000 0.0000  7 Rh 2.63-2.73
2 Al 0.7577 0.7577 0.3686  7 Rh 2.59-2.71
3 Rh 0.2597 0.2597 0.8678  3 Ta 2.63-2.65, 4 Al 2.69-2.71
4 Rh 0.4905 0.4905 0.4877  3 Al 2.59-2.67, 4 Ta 2.68-2.73

Results
- E (eV per cell) = -33.03
- crystal system = monoclinic
- SG = Cm, No. 8

=====

No. 19
First-principles (PBE-GGA) data for a geometry-optimized DyNpPa2N4 structure, as listed in the Alexandria database.

Cell lengths 6.0232, 3.4818, 6.0491 Å; angles 90.00, 109.48, 90.00 degrees
Closest atoms and distances in Å follow each position.
Fractional positions:
1 Dy 0.0000 0.0000 0.0000  6 N 2.47-2.48
2 Np 0.0000 0.5000 0.5000  6 N 2.48
3 Pa 0.5000 0.0000 0.5000  6 N 2.44-2.46
4 Pa 0.5000 0.5000 0.0000  6 N 2.45
5 N 0.2533 0.0000 0.7529  3 Pa 2.45-2.46, 1 Dy 2.47, 2 Np 2.48
6 N 0.2558 0.5000 0.2522  3 Pa 2.44-2.45, 1 Np 2.48, 2 Dy 2.48
7 N 0.7442 0.5000 0.7478  3 Pa 2.44-2.45, 1 Np 2.48, 2 Dy 2.48
8 N 0.7467 0.0000 0.2471  3 Pa 2.45-2.46, 1 Dy 2.47, 2 Np 2.48

Results
- formation energy from raw total energies (eV per atom) = -1.5083
- crystal system = monoclinic
- SG = P2/m, No. 10

=====

No. 20
First-principles (PBE-GGA) data for a geometry-optimized La2Zn2Si structure, as listed in the Alexandria database.

Cell lengths 6.1386, 6.1386, 11.3104 Å; angles 114.40, 114.40, 40.02 degrees
Closest atoms and distances in Å follow each position.
Fractional positions:
1 La 0.1080 0.1080 0.3958  6 Zn 3.16-3.29, 2 Si 3.17
2 La 0.2931 0.2931 0.8593  4 Si 3.20-3.42, 7 Zn 3.21-3.37
3 La 0.7069 0.7069 0.1407  4 Si 3.20-3.42, 7 Zn 3.21-3.37
4 La 0.8920 0.8920 0.6042  6 Zn 3.16-3.29, 2 Si 3.17
5 Zn 0.0396 0.0396 0.9148  2 Si 2.47, 1 Zn 2.47
6 Zn 0.3827 0.3827 0.3817  1 Si 2.54
7 Zn 0.6173 0.6173 0.6183  1 Si 2.54
8 Zn 0.9604 0.9604 0.0852  2 Si 2.47, 1 Zn 2.47
9 Si 0.4313 0.4313 0.1836  3 Zn 2.47-2.54
10 Si 0.5687 0.5687 0.8164  3 Zn 2.47-2.54

Results
- formation energy from raw total energies (eV per atom) = -0.4805
- energy above the lowest structure with this stoichiometry (meV per atom) = 0
- crystal system = monoclinic
- SG = C2/m, No. 12